An optimized crystal structure of NdSi2Pd3, computed with PBE.

Summary:
- Magnetization: 0.00 μB per atom
- Formation energy (no corrections): -0.879 eV per atom
- D(E_F): 8.6 states/eV per cell
- Space group: C2/m, No. 12

a b c (Å): 4.0460 8.4709 9.9923
angles (deg): 108.10 90.00 103.82
With the nearest neighbours (Å) after each atom.
Fractional positions:
Si (0.7997, 0.5993, 0.8689)  6 Pd 2.46-2.59
Si (0.2003, 0.4007, 0.1311)  6 Pd 2.46-2.59
Si (0.5338, 0.0675, 0.7761)  5 Pd 2.45-2.73
Si (0.3637, 0.7274, 0.5525)  7 Pd 2.38-2.61
Si (0.6363, 0.2726, 0.4475)  7 Pd 2.38-2.61
Si (0.4662, 0.9325, 0.2239)  5 Pd 2.45-2.73
Pd (0.3723, 0.7447, 0.7981)  3 Si 2.41-2.56
Pd (0.6277, 0.2553, 0.2019)  3 Si 2.41-2.56
Pd (0.2206, 0.4412, 0.3934)  4 Si 2.38-2.61
Pd (0.9569, 0.9137, 0.6666)  4 Si 2.45-2.57
Pd (0.0431, 0.0863, 0.3334)  4 Si 2.45-2.57
Pd (0.3220, 0.6441, 0.0387)  4 Si 2.46-2.59
Pd (0.5000, 0.0000, 0.5000)  4 Si 2.46-2.63
Pd (0.6780, 0.3559, 0.9613)  4 Si 2.46-2.59
Pd (0.7794, 0.5588, 0.6066)  4 Si 2.38-2.61
Nd (0.1534, 0.3068, 0.6938)  6 Si 3.11-3.20, 9 Pd 3.16-3.48
Nd (0.8466, 0.6932, 0.3062)  6 Si 3.11-3.20, 9 Pd 3.16-3.48
Nd (0.0000, 0.0000, 0.0000)  6 Si 3.13-3.19, 6 Pd 3.14-3.18

=====

An optimized crystal structure of Nd2Si2Pd5, computed with PBE.

Summary:
- Magnetization: 0.00 μB per atom
- Formation energy (no corrections): -0.887 eV per atom
- D(E_F): 2.6 states/eV per cell
- Space group: P4/mmm, No. 123

a b c (Å): 4.2599 4.2599 9.0487
angles (deg): 90.00 90.00 90.00
With the nearest neighbours (Å) after each atom.
Fractional positions:
Pd (0.5000, 0.0000, 0.7333)  2 Si 2.45
Pd (0.0000, 0.5000, 0.2667)  2 Si 2.45
Pd (0.0000, 0.5000, 0.7333)  2 Si 2.45
Pd (0.5000, 0.0000, 0.2667)  2 Si 2.45
Pd (0.5000, 0.5000, 0.5000)  8 Pd 3.00, 4 Nd 3.01, 2 Si 3.32
Nd (0.0000, 0.0000, 0.0000)  8 Pd 3.22, 8 Si 3.24
Nd (0.0000, 0.0000, 0.5000)  12 Pd 3.00-3.01
Si (0.5000, 0.5000, 0.1332)  1 Si 2.41, 4 Pd 2.45
Si (0.5000, 0.5000, 0.8668)  1 Si 2.41, 4 Pd 2.45

=====

An optimized crystal structure of Nd2Si4Pd5, computed with PBE.

Summary:
- Magnetization: 0.00 μB per atom
- Formation energy (no corrections): -0.762 eV per atom
- D(E_F): 8.3 states/eV per cell
- Space group: Fmmm, No. 69

a b c (Å): 5.8318 5.7343 7.5660
angles (deg): 78.70 67.33 59.44
With the nearest neighbours (Å) after each atom.
Fractional positions:
Pd (0.2500, 0.5000, 0.5000)  4 Si 2.41
Pd (0.7500, 0.5000, 0.5000)  4 Si 2.41
Pd (0.5000, 0.5000, 0.0000)  4 Si 2.64, 4 Pd 2.87-2.92
Pd (0.0000, 0.5000, 0.0000)  4 Si 2.64, 4 Pd 2.87-2.92
Pd (0.5000, 0.0000, 0.0000)  4 Si 2.36
Nd (0.8593, 0.0000, 0.2813)  8 Si 3.23-3.55, 10 Pd 3.25-3.52
Nd (0.1407, 0.0000, 0.7187)  8 Si 3.23-3.55, 10 Pd 3.25-3.52
Si (0.5033, 0.7194, 0.2740)  5 Pd 2.36-2.64
Si (0.2227, 0.2806, 0.2740)  5 Pd 2.36-2.64
Si (0.4967, 0.2806, 0.7260)  5 Pd 2.36-2.64
Si (0.7773, 0.7194, 0.7260)  5 Pd 2.36-2.64

=====

An optimized crystal structure of NdSi2Pd2, computed with PBE.

Summary:
- Magnetization: 0.12 μB per atom
- Formation energy (no corrections): 0.039 eV per atom
- D(E_F): 3.9 states/eV per cell
- Space group: I4/mmm, No. 139

a b c (Å): 3.8725 3.8725 9.3195
angles (deg): 101.99 101.99 90.00
With the nearest neighbours (Å) after each atom.
Fractional positions:
Si (0.8323, 0.8323, 0.6647)  4 Pd 2.43
Si (0.1677, 0.1677, 0.3353)  4 Pd 2.43
Pd (0.7500, 0.2500, 0.5000)  4 Si 2.43
Pd (0.2500, 0.7500, 0.5000)  4 Si 2.43
Nd (0.0000, 0.0000, 0.0000)  2 Si 2.99

=====

An optimized crystal structure of Nd3Si3Pd2, computed with PBE.

Summary:
- Magnetization: 0.00 μB per atom
- Formation energy (no corrections): -0.863 eV per atom
- D(E_F): 6.8 states/eV per cell
- Space group: Cmcm, No. 63

a b c (Å): 4.3653 5.7754 14.6509
angles (deg): 90.00 90.00 112.21
With the nearest neighbours (Å) after each atom.
Fractional positions:
Nd (0.6284, 0.2567, 0.2500)  5 Si 3.06-3.20, 4 Pd 3.26
Nd (0.0920, 0.1840, 0.8894)  7 Si 3.09-3.41, 4 Pd 3.12-3.21
Nd (0.3716, 0.7433, 0.7500)  5 Si 3.06-3.20, 4 Pd 3.26
Nd (0.9080, 0.8160, 0.3894)  7 Si 3.09-3.41, 4 Pd 3.12-3.21
Nd (0.0920, 0.1840, 0.6106)  7 Si 3.09-3.41, 4 Pd 3.12-3.21
Nd (0.9080, 0.8160, 0.1106)  7 Si 3.09-3.41, 4 Pd 3.12-3.21
Si (0.3288, 0.6577, 0.2500)  2 Pd 2.67
Si (0.3954, 0.7908, 0.5389)  1 Si 2.51, 2 Pd 2.54
Si (0.6046, 0.2092, 0.0389)  1 Si 2.51, 2 Pd 2.54
Si (0.6046, 0.2092, 0.4611)  1 Si 2.51, 2 Pd 2.54
Si (0.6712, 0.3423, 0.7500)  2 Pd 2.67
Si (0.3954, 0.7908, 0.9611)  1 Si 2.51, 2 Pd 2.54
Pd (0.7986, 0.5973, 0.5932)  4 Si 2.54-2.84
Pd (0.2014, 0.4027, 0.4068)  4 Si 2.54-2.84
Pd (0.2014, 0.4027, 0.0932)  4 Si 2.54-2.84
Pd (0.7986, 0.5973, 0.9068)  4 Si 2.54-2.84

=====

An optimized crystal structure of Nd3Si4Pd7, computed with PBE.

Summary:
- Magnetization: 0.00 μB per atom
- Formation energy (no corrections): -0.872 eV per atom
- D(E_F): 8.3 states/eV per cell
- Space group: C2/m, No. 12

a b c (Å): 4.1054 8.1919 8.3880
angles (deg): 70.95 75.83 75.49
With the nearest neighbours (Å) after each atom.
Fractional positions:
Si (0.1090, 0.1085, 0.6735)  6 Pd 2.54-2.62
Si (0.3355, 0.5546, 0.7745)  5 Pd 2.47-2.60
Si (0.8910, 0.8915, 0.3265)  6 Pd 2.54-2.62
Si (0.6645, 0.4454, 0.2255)  5 Pd 2.47-2.60
Nd (0.6762, 0.8225, 0.8252)  4 Si 3.05-3.06, 10 Pd 3.06-3.31
Nd (0.3238, 0.1775, 0.1748)  4 Si 3.05-3.06, 10 Pd 3.06-3.31
Nd (0.0000, 0.5000, 0.5000)  6 Si 3.03-3.15, 6 Pd 3.29-3.31
Pd (0.1703, 0.5820, 0.0775)  3 Si 2.47-2.53
Pd (0.8297, 0.4180, 0.9225)  3 Si 2.47-2.53
Pd (0.4924, 0.2404, 0.7747)  3 Si 2.49-2.54
Pd (0.3064, 0.8520, 0.5351)  4 Si 2.59-2.62, 1 Pd 2.82
Pd (0.6936, 0.1480, 0.4649)  4 Si 2.59-2.62, 1 Pd 2.82
Pd (0.0000, 0.0000, 0.0000)  2 Si 2.55
Pd (0.5076, 0.7596, 0.2253)  3 Si 2.49-2.54

=====

An optimized crystal structure of NdSi6Pd12, computed with PBE.

Summary:
- Magnetization: 0.00 μB per atom
- Formation energy (no corrections): -0.663 eV per atom
- D(E_F): 9.5 states/eV per cell
- Space group: R-3m, No. 166

a b c (Å): 7.0855 7.0855 7.0855
angles (deg): 105.34 105.34 105.34
With the nearest neighbours (Å) after each atom.
Fractional positions:
Pd (0.5000, 0.8751, 0.1249)  4 Si 2.42
Pd (0.1249, 0.8751, 0.5000)  4 Si 2.42
Pd (0.4360, 0.4360, 0.1730)  3 Si 2.44-2.52
Pd (0.8270, 0.5640, 0.5640)  3 Si 2.44-2.52
Pd (0.5640, 0.8270, 0.5640)  3 Si 2.44-2.52
Pd (0.4360, 0.1730, 0.4360)  3 Si 2.44-2.52
Pd (0.5000, 0.1249, 0.8751)  4 Si 2.42
Pd (0.8751, 0.1249, 0.5000)  4 Si 2.42
Pd (0.5640, 0.5640, 0.8270)  3 Si 2.44-2.52
Pd (0.8751, 0.5000, 0.1249)  4 Si 2.42
Pd (0.1249, 0.5000, 0.8751)  4 Si 2.42
Pd (0.1730, 0.4360, 0.4360)  3 Si 2.44-2.52
Si (0.2493, 0.6889, 0.2493)  7 Pd 2.42-2.52
Si (0.7507, 0.3111, 0.7507)  7 Pd 2.42-2.52
Si (0.2493, 0.2493, 0.6889)  7 Pd 2.42-2.52
Si (0.6889, 0.2493, 0.2493)  7 Pd 2.42-2.52
Si (0.3111, 0.7507, 0.7507)  7 Pd 2.42-2.52
Si (0.7507, 0.7507, 0.3111)  7 Pd 2.42-2.52
Nd (0.0000, 0.0000, 0.0000)  6 Pd 3.40, 6 Si 3.68

=====

An optimized crystal structure of NdSi2Pd, computed with PBE.

Summary:
- Magnetization: 0.00 μB per atom
- Formation energy (no corrections): -0.832 eV per atom
- D(E_F): 11.5 states/eV per cell
- Space group: Pnma, No. 62

a b c (Å): 4.1516 10.7003 13.6904
angles (deg): 90.00 90.00 90.00
With the nearest neighbours (Å) after each atom.
Fractional positions:
Nd (0.2500, 0.9819, 0.8000)  10 Si 3.14-3.30, 4 Pd 3.16-3.40
Nd (0.7500, 0.4819, 0.7000)  10 Si 3.14-3.30, 4 Pd 3.16-3.40
Nd (0.7500, 0.2478, 0.9489)  9 Si 3.03-3.29, 3 Pd 3.30-3.31
Nd (0.2500, 0.7522, 0.0511)  9 Si 3.03-3.29, 3 Pd 3.30-3.31
Nd (0.7500, 0.2522, 0.4489)  9 Si 3.03-3.29, 3 Pd 3.30-3.31
Nd (0.2500, 0.5181, 0.3000)  10 Si 3.14-3.30, 4 Pd 3.16-3.40
Nd (0.7500, 0.0181, 0.2000)  10 Si 3.14-3.30, 4 Pd 3.16-3.40
Nd (0.2500, 0.7478, 0.5511)  9 Si 3.03-3.29, 3 Pd 3.30-3.31
Si (0.2500, 0.2679, 0.6161)  2 Si 2.35-2.36, 3 Pd 2.40-2.55
Si (0.2500, 0.2321, 0.1161)  2 Si 2.35-2.36, 3 Pd 2.40-2.55
Si (0.2500, 0.0428, 0.0292)  3 Si 2.35-2.40
Si (0.7500, 0.9572, 0.9708)  3 Si 2.35-2.40
Si (0.7500, 0.5322, 0.1241)  1 Si 2.38, 4 Pd 2.45-2.57
Si (0.2500, 0.0322, 0.3759)  1 Si 2.38, 4 Pd 2.45-2.57
Si (0.7500, 0.7246, 0.2113)  2 Si 2.36-2.38, 2 Pd 2.57
Si (0.2500, 0.4678, 0.8759)  1 Si 2.38, 4 Pd 2.45-2.57
Si (0.2500, 0.2246, 0.2887)  2 Si 2.36-2.38, 2 Pd 2.57
Si (0.2500, 0.2754, 0.7887)  2 Si 2.36-2.38, 2 Pd 2.57
Si (0.7500, 0.7321, 0.3839)  2 Si 2.35-2.36, 3 Pd 2.40-2.55
Si (0.7500, 0.7679, 0.8839)  2 Si 2.35-2.36, 3 Pd 2.40-2.55
Si (0.7500, 0.9678, 0.6241)  1 Si 2.38, 4 Pd 2.45-2.57
Si (0.2500, 0.4572, 0.5292)  3 Si 2.35-2.40
Si (0.7500, 0.5428, 0.4708)  3 Si 2.35-2.40
Si (0.7500, 0.7754, 0.7113)  2 Si 2.36-2.38, 2 Pd 2.57
Pd (0.7500, 0.1863, 0.7027)  5 Si 2.55-2.57
Pd (0.2500, 0.8137, 0.2973)  5 Si 2.55-2.57
Pd (0.7500, 0.5564, 0.9414)  4 Si 2.40-2.51
Pd (0.2500, 0.0564, 0.5586)  4 Si 2.40-2.51
Pd (0.7500, 0.3137, 0.2027)  5 Si 2.55-2.57
Pd (0.2500, 0.6863, 0.7973)  5 Si 2.55-2.57
Pd (0.2500, 0.4436, 0.0586)  4 Si 2.40-2.51
Pd (0.7500, 0.9436, 0.4414)  4 Si 2.40-2.51

=====

An optimized crystal structure of Nd2Si3Pd, computed with PBE.

Summary:
- Magnetization: 0.00 μB per atom
- Formation energy (no corrections): -0.901 eV per atom
- D(E_F): 9.2 states/eV per cell
- Space group: P6/mmm, No. 191

a b c (Å): 8.2704 8.2704 8.5128
angles (deg): 90.00 90.00 120.00
With the nearest neighbours (Å) after each atom.
Fractional positions:
Si (0.3314, 0.1657, 0.9999)  2 Si 2.37, 1 Pd 2.40
Si (0.3314, 0.1657, 0.5001)  2 Si 2.37, 1 Pd 2.40
Si (0.8343, 0.6686, 0.5001)  2 Si 2.37, 1 Pd 2.40
Si (0.8343, 0.1657, 0.5001)  2 Si 2.37, 1 Pd 2.40
Si (0.1657, 0.8343, 0.0001)  2 Si 2.37, 1 Pd 2.40
Si (0.8343, 0.1657, 0.9999)  2 Si 2.37, 1 Pd 2.40
Si (0.6686, 0.8343, 0.4999)  2 Si 2.37, 1 Pd 2.40
Si (0.6686, 0.8343, 0.0001)  2 Si 2.37, 1 Pd 2.40
Si (0.1657, 0.3314, 0.4999)  2 Si 2.37, 1 Pd 2.40
Si (0.1657, 0.3314, 0.0001)  2 Si 2.37, 1 Pd 2.40
Si (0.8343, 0.6686, 0.9999)  2 Si 2.37, 1 Pd 2.40
Si (0.1657, 0.8343, 0.4999)  2 Si 2.37, 1 Pd 2.40
Nd (0.0000, 0.5000, 0.2500)  4 Pd 3.20, 8 Si 3.20
Nd (0.5000, 0.5000, 0.2500)  4 Pd 3.20, 8 Si 3.20
Nd (0.0000, 0.5000, 0.7500)  4 Pd 3.20, 8 Si 3.20
Nd (0.0000, 0.0000, 0.2500)  12 Si 3.19
Nd (0.5000, 0.0000, 0.7500)  4 Pd 3.20, 8 Si 3.20
Nd (0.5000, 0.0000, 0.2500)  4 Pd 3.20, 8 Si 3.20
Nd (0.0000, 0.0000, 0.7500)  12 Si 3.19
Nd (0.5000, 0.5000, 0.7500)  4 Pd 3.20, 8 Si 3.20
Pd (0.6667, 0.3333, 0.5001)  3 Si 2.40
Pd (0.6667, 0.3333, 0.9999)  3 Si 2.40
Pd (0.3333, 0.6667, 0.4999)  3 Si 2.40
Pd (0.3333, 0.6667, 0.0001)  3 Si 2.40